Crystalline Rb2NdCoO4 at its relaxed geometry. Source: the Alexandria database, functional PBE+U.

Unit cell a=5.8963 b=7.0965 c=12.3372 alpha=84.30 beta=76.17 gamma=65.45
Element x y z (fractional)
O1 0.2295 0.1849 0.9326
Rb1 0.1961 0.0000 0.6079
Co1 0.2500 0.5000 0.5000
O2 0.8378 0.8151 0.9326
O3 0.5205 0.3151 0.5674
O4 0.5856 0.1849 0.0674
O5 0.4029 0.6849 0.4326
Rb2 0.9461 0.5000 0.1079
O6 0.1644 0.3151 0.4326
O7 0.9122 0.6849 0.5674
Rb3 0.5539 0.5000 0.8921
Co2 0.5000 0.0000 0.0000
Rb4 0.8039 0.0000 0.3921
Nd1 0.7500 0.5000 0.5000
Nd2 0.0000 0.0000 0.0000
O8 0.3471 0.8151 0.0674

Values from the calculation:
* DFT total energy: -5.4814 eV per atom